Record 1
Computed, not measured: a relaxed structure of ZnNi2Ru at the PBE level of DFT.

Structure (POSCAR):
```
ZnNi2Ru
1.0
-4.125 0.271 0.069
-2.140 -1.817 3.035
-1.873 2.306 2.876
Zn Ru Ni
1 1 2
Direct
0.750 0.750 0.750
0.500 0.500 0.500
0.000 0.000 0.000
0.250 0.250 0.250
```

Record 2
Computed, not measured: a relaxed structure of ZnNi2Ru at the PBE level of DFT.

Structure (POSCAR):
```
ZnNi2Ru
1.0
2.643 0.000 0.000
1.321 2.289 0.000
1.321 0.763 8.221
Ni Zn Ru
2 1 1
Direct
0.250 0.250 0.250
0.084 0.084 0.749
0.667 0.667 0.000
0.500 0.500 0.500
```

Record 3
Computed, not measured: a relaxed structure of ZnNi2Ru at the PBE level of DFT.

Structure (POSCAR):
```
ZnNi2Ru
1.0
4.517 -0.002 -0.005
-0.010 5.177 0.001
-1.564 -2.545 4.245
Ni Zn Ru
4 2 2
Direct
0.620 0.568 0.213
0.606 0.076 0.214
0.613 0.082 0.729
0.112 0.305 0.220
0.106 0.300 0.724
0.122 0.813 0.234
0.597 0.573 0.704
0.106 0.801 0.726
```

Record 4
Computed, not measured: a relaxed structure of ZnNiRu2 at the PBE level of DFT.

Structure (POSCAR):
```
ZnNiRu2
1.0
2.637 0.000 0.000
0.000 3.704 0.000
0.000 0.000 5.444
Ru Ni Zn
2 1 1
Direct
0.000 0.000 0.986
0.000 0.000 0.514
0.500 0.500 0.750
0.500 0.500 0.250
```

Record 5
Computed, not measured: a relaxed structure of ZnNi2Ru at the PBE level of DFT.

Structure (POSCAR):
```
ZnNi2Ru
1.0
2.559 0.000 0.000
0.000 4.570 -0.015
0.000 3.018 4.246
Ni Zn Ru
2 1 1
Direct
0.000 0.000 0.000
0.500 0.500 0.000
0.000 0.000 0.500
0.500 0.500 0.500
```

Record 6
Computed, not measured: a relaxed structure of ZnNi2Ru at the PBE level of DFT.

Structure (POSCAR):
```
ZnNi2Ru
1.0
-1.846 1.846 3.651
1.846 -1.846 3.651
1.846 1.846 -3.651
Zn Ni Ru
1 2 1
Direct
0.750 0.250 0.500
0.000 0.000 0.000
0.250 0.750 0.500
0.500 0.500 0.000
```

Record 7
Computed, not measured: a relaxed structure of ZnNiRu2 at the PBE level of DFT.

Structure (POSCAR):
```
ZnNiRu2
1.0
-0.632 1.951 -1.696
-2.585 -0.464 0.429
0.054 4.932 5.652
Ru Ni Zn
2 1 1
Direct
0.000 0.000 0.986
0.000 0.000 0.514
0.500 0.500 0.750
0.500 0.500 0.250
```

Record 8
Computed, not measured: a relaxed structure of Zn3NiRu at the PBE level of DFT.

Structure (POSCAR):
```
Zn3NiRu
1.0
4.701 0.000 0.000
0.000 4.701 0.000
0.000 0.000 4.701
Zn Ni Ru
3 1 1
Direct
0.000 0.000 0.500
0.000 0.500 0.000
0.500 0.000 0.000
0.500 0.500 0.500
0.000 0.000 0.000
```

no.,Fermi-level density of states (states/eV per cell),calculated total energy (eV per atom),ΔH_f (0 K) (meV per atom)
1,4.33,-5.45,81
2,2.36,-5.53,-6
3,9.39,-5.54,-9
4,6.25,-6.21,197
5,5.05,-5.48,51
6,4.64,-5.48,51
7,6.65,-6.22,177
8,7.24,-2.83,950